# NaZr3Ir (GGA-PBE, optimized geometry)
data_NaZr3Ir
_space_group_name_H-M_alt 'P 1'
_space_group_IT_number 1
_cell_length_a 5.157
_cell_length_b 5.157
_cell_length_c 5.157
_cell_angle_alpha 90.00
_cell_angle_beta 90.00
_cell_angle_gamma 90.00
loop_
_space_group_symop_operation_xyz
'x,y,z'
loop_
_atom_site_label
_atom_site_type_symbol
_atom_site_fract_x
_atom_site_fract_y
_atom_site_fract_z
Ir1 Ir 0.000 0.000 0.000
Zr1 Zr 0.000 0.500 0.000
Zr2 Zr 0.500 0.000 0.000
Zr3 Zr 0.000 0.000 0.500
Na1 Na 0.500 0.500 0.500
# ΔE to the lowest computed polymorph   0 meV/atom
# Energy of formation from the pure elements   256.7 meV per atom
# Magnetization   0.000 μB per formula unit